1.
Compound: MnCuRe2
Source: Alexandria
Functional: GGA-PBE
Structure: relaxed

The structure in CIF format:
```
data_MnCuRe2
_cell_length_a 2.650
_cell_length_b 3.801
_cell_length_c 5.289
_cell_angle_alpha 90.00
_cell_angle_beta 90.00
_cell_angle_gamma 90.00
_symmetry_space_group_name_H-M 'P 1'
_symmetry_Int_Tables_number 1
loop_
_symmetry_equiv_pos_as_xyz
'x,y,z'
loop_
_atom_site_label
_atom_site_type_symbol
_atom_site_fract_x
_atom_site_fract_y
_atom_site_fract_z
Mn1 Mn 0.000 0.000 0.000
Cu1 Cu 0.000 0.000 0.500
Re1 Re 0.500 0.500 0.243
Re2 Re 0.500 0.500 0.757
```

Properties
Space-group type: No. 47
N(E_F), states/eV per atom: 0.775

=====

2.
Compound: MnCuRe2
Source: Alexandria
Functional: GGA-PBE
Structure: relaxed

The structure in CIF format:
```
data_MnCuRe2
_cell_length_a 2.712
_cell_length_b 3.827
_cell_length_c 5.300
_cell_angle_alpha 90.00
_cell_angle_beta 90.00
_cell_angle_gamma 90.00
_symmetry_space_group_name_H-M 'P 1'
_symmetry_Int_Tables_number 1
loop_
_symmetry_equiv_pos_as_xyz
'x,y,z'
loop_
_atom_site_label
_atom_site_type_symbol
_atom_site_fract_x
_atom_site_fract_y
_atom_site_fract_z
Mn1 Mn 0.000 0.000 0.000
Cu1 Cu 0.500 0.500 0.770
Re1 Re 0.000 0.000 0.511
Re2 Re 0.500 0.500 0.264
```

Properties
Space-group type: No. 25
N(E_F), states/eV per atom: 0.957

=====

Least stable: 1

=====

1.
Compound: MnCuRe2
Source: Alexandria
Functional: GGA-PBE
Structure: relaxed

The structure in CIF format:
```
data_MnCuRe2
_cell_length_a 2.666
_cell_length_b 2.666
_cell_length_c 7.489
_cell_angle_alpha 90.00
_cell_angle_beta 90.00
_cell_angle_gamma 90.00
_symmetry_space_group_name_H-M 'P 1'
_symmetry_Int_Tables_number 1
loop_
_symmetry_equiv_pos_as_xyz
'x,y,z'
loop_
_atom_site_label
_atom_site_type_symbol
_atom_site_fract_x
_atom_site_fract_y
_atom_site_fract_z
Mn1 Mn 0.000 0.000 0.000
Cu1 Cu 0.000 0.000 0.500
Re1 Re 0.500 0.500 0.238
Re2 Re 0.500 0.500 0.762
```

Properties
Space-group type: No. 123
N(E_F), states/eV per atom: 1.014

=====

2.
Compound: MnCuRe2
Source: Alexandria
Functional: GGA-PBE
Structure: relaxed

The structure in CIF format:
```
data_MnCuRe2
_cell_length_a 2.806
_cell_length_b 2.806
_cell_length_c 7.060
_cell_angle_alpha 90.00
_cell_angle_beta 90.00
_cell_angle_gamma 90.00
_symmetry_space_group_name_H-M 'P 1'
_symmetry_Int_Tables_number 1
loop_
_symmetry_equiv_pos_as_xyz
'x,y,z'
loop_
_atom_site_label
_atom_site_type_symbol
_atom_site_fract_x
_atom_site_fract_y
_atom_site_fract_z
Mn1 Mn 0.000 0.000 0.000
Cu1 Cu 0.500 0.500 0.767
Re1 Re 0.000 0.000 0.510
Re2 Re 0.500 0.500 0.250
```

Properties
Space-group type: No. 99
N(E_F), states/eV per atom: 0.989

=====

Least stable: 2

=====

1.
Compound: MnCuRe2
Source: Alexandria
Functional: GGA-PBE
Structure: relaxed

The structure in CIF format:
```
data_MnCuRe2
_cell_length_a 8.859
_cell_length_b 2.745
_cell_length_c 4.623
_cell_angle_alpha 90.00
_cell_angle_beta 101.96
_cell_angle_gamma 90.00
_symmetry_space_group_name_H-M 'P 1'
_symmetry_Int_Tables_number 1
loop_
_symmetry_equiv_pos_as_xyz
'x,y,z'
loop_
_atom_site_label
_atom_site_type_symbol
_atom_site_fract_x
_atom_site_fract_y
_atom_site_fract_z
Mn1 Mn 0.000 0.000 0.000
Mn2 Mn 0.500 0.500 0.000
Cu1 Cu 0.000 0.500 0.500
Cu2 Cu 0.500 0.000 0.500
Re1 Re 0.243 0.500 0.245
Re2 Re 0.257 0.000 0.755
Re3 Re 0.743 0.000 0.245
Re4 Re 0.757 0.500 0.755
```

Properties
Space-group type: No. 12
N(E_F), states/eV per atom: 0.934

=====

2.
Compound: MnCuRe2
Source: Alexandria
Functional: GGA-PBE
Structure: relaxed

The structure in CIF format:
```
data_MnCuRe2
_cell_length_a 3.840
_cell_length_b 3.840
_cell_length_c 7.392
_cell_angle_alpha 90.00
_cell_angle_beta 90.00
_cell_angle_gamma 90.00
_symmetry_space_group_name_H-M 'P 1'
_symmetry_Int_Tables_number 1
loop_
_symmetry_equiv_pos_as_xyz
'x,y,z'
loop_
_atom_site_label
_atom_site_type_symbol
_atom_site_fract_x
_atom_site_fract_y
_atom_site_fract_z
Mn1 Mn 0.000 0.000 0.000
Mn2 Mn 0.500 0.500 0.500
Cu1 Cu 0.000 0.500 0.750
Cu2 Cu 0.500 0.000 0.250
Re1 Re 0.000 0.000 0.500
Re2 Re 0.000 0.500 0.250
Re3 Re 0.500 0.000 0.750
Re4 Re 0.500 0.500 0.000
```

Properties
Space-group type: No. 119
N(E_F), states/eV per atom: 0.750

=====

3.
Compound: MnCuRe2
Source: Alexandria
Functional: GGA-PBE
Structure: relaxed

The structure in CIF format:
```
data_MnCuRe2
_cell_length_a 5.300
_cell_length_b 7.702
_cell_length_c 2.632
_cell_angle_alpha 90.00
_cell_angle_beta 90.00
_cell_angle_gamma 90.00
_symmetry_space_group_name_H-M 'P 1'
_symmetry_Int_Tables_number 1
loop_
_symmetry_equiv_pos_as_xyz
'x,y,z'
loop_
_atom_site_label
_atom_site_type_symbol
_atom_site_fract_x
_atom_site_fract_y
_atom_site_fract_z
Mn1 Mn 0.000 0.000 0.000
Mn2 Mn 0.500 0.500 0.000
Cu1 Cu 0.000 0.500 0.000
Cu2 Cu 0.500 0.000 0.000
Re1 Re 0.250 0.250 0.500
Re2 Re 0.250 0.750 0.500
Re3 Re 0.750 0.250 0.500
Re4 Re 0.750 0.750 0.500
```

Properties
Space-group type: No. 65
N(E_F), states/eV per atom: 0.684

=====

Least stable: 3